# 1
The following is a DFT calculation (meta-GGA SCAN) of a PBEsol-optimized structure of MnSeBr2.

- Offset from the most stable computed form: 0 meV/atom

```
MnSeBr2
1.0
-2.115 2.148 1.854
-1.999 -1.308 2.611
4.606 1.631 6.743
Br Se Mn
2 1 1
direct
0.776 0.776 0.672
0.987 0.987 0.040
0.231 0.231 0.307
0.506 0.506 0.481
```

# 2
The following is a DFT calculation (meta-GGA SCAN) of a PBEsol-optimized structure of MnSeBr2.

- Offset from the most stable computed form: 648 meV/atom

```
MnSeBr2
1.0
-0.988 2.636 4.056
-3.680 -1.364 2.995
1.008 -1.861 4.460
Mn Se Br
1 1 2
direct
0.500 0.500 0.500
0.000 0.000 0.000
0.750 0.750 0.750
0.250 0.250 0.250
```

# 3
The following is a DFT calculation (meta-GGA SCAN) of a PBEsol-optimized structure of Mn2SeBr.

- Offset from the most stable computed form: 332 meV/atom

```
Mn2SeBr
1.0
-2.364 -0.618 2.620
2.461 -2.159 1.712
2.075 4.733 2.988
Mn Br Se
2 1 1
direct
0.000 0.000 0.000
0.000 0.500 0.500
0.500 0.000 0.500
0.500 0.500 0.000
```

# 4
The following is a DFT calculation (meta-GGA SCAN) of a PBEsol-optimized structure of Mn2SeBr.

- Offset from the most stable computed form: 143 meV/atom

```
Mn2SeBr
1.0
-1.849 0.828 -2.721
-2.252 -2.506 0.768
-3.531 4.296 3.706
Mn Br Se
2 1 1
direct
0.000 0.502 0.808
0.000 0.498 0.192
0.500 0.500 0.500
0.500 0.000 0.000
```

# 5
The following is a DFT calculation (meta-GGA SCAN) of a PBEsol-optimized structure of Mn2SeBr.

- Offset from the most stable computed form: 0 meV/atom

```
Mn2SeBr
1.0
3.588 0.000 0.000
1.794 3.725 0.088
1.794 0.294 6.185
Se Mn Br
1 2 1
direct
0.500 0.000 0.000
0.275 0.633 0.818
0.725 0.367 0.182
0.000 0.500 0.500
```

# 6
The following is a DFT calculation (meta-GGA SCAN) of a PBEsol-optimized structure of Mn2SeBr.

- Offset from the most stable computed form: 62 meV/atom

```
Mn2SeBr
1.0
3.435 0.000 0.000
0.000 3.591 0.000
-1.717 -1.796 6.379
Mn Br Se
2 1 1
direct
0.682 0.182 0.365
0.992 0.992 0.985
0.289 0.789 0.578
0.536 0.536 0.073
```

# 7
The following is a DFT calculation (meta-GGA SCAN) of a PBEsol-optimized structure of MnSnSeBr2.

```
MnSnSeBr2
1.0
-4.475 1.558 1.453
-1.195 -4.634 1.290
1.795 0.828 4.640
Se Sn Br Mn
1 1 2 1
direct
0.000 0.000 0.500
0.500 0.500 0.500
0.500 0.000 0.000
0.000 0.500 0.000
0.000 0.000 0.000
```

# 8
The following is a DFT calculation (meta-GGA SCAN) of a PBEsol-optimized structure of MnSnSe2Br.

```
MnSnSe2Br
1.0
5.227 0.000 0.000
0.000 5.227 0.000
0.000 0.000 5.292
Se Mn Br Sn
2 1 1 1
direct
0.000 0.500 0.000
0.500 0.000 0.000
0.500 0.500 0.500
0.000 0.000 0.500
0.000 0.000 0.000
```

# 9
The following is a DFT calculation (meta-GGA SCAN) of a PBEsol-optimized structure of TiMnSeBr2.

```
TiMnSeBr2
1.0
4.952 0.000 0.000
0.000 5.045 0.000
0.000 0.000 5.045
Se Mn Ti Br
1 1 1 2
direct
0.500 0.000 0.000
0.500 0.500 0.500
0.000 0.000 0.000
0.000 0.000 0.500
0.000 0.500 0.000
```

# 10
The following is a DFT calculation (meta-GGA SCAN) of a PBEsol-optimized structure of ZrMnSeBr2.

```
ZrMnSeBr2
1.0
4.840 0.000 0.000
0.000 4.840 0.000
0.000 0.000 4.935
Br Zr Mn Se
2 1 1 1
direct
0.000 0.500 0.000
0.500 0.000 0.000
0.500 0.500 0.500
0.000 0.000 0.000
0.000 0.000 0.500
```

# 11
The following is a DFT calculation (meta-GGA SCAN) of a PBEsol-optimized structure of Mn2SiBr.

- Offset from the most stable computed form: 335 meV/atom

```
Mn2SiBr
1.0
3.053 0.000 0.000
0.000 3.912 0.000
0.000 0.000 5.287
Mn Si Br
2 1 1
direct
0.500 0.000 0.500
0.000 0.000 0.000
0.500 0.500 0.000
0.000 0.500 0.500
```

# 12
The following is a DFT calculation (meta-GGA SCAN) of a PBEsol-optimized structure of MnSiBr2.

```
MnSiBr2
1.0
3.841 0.000 0.000
0.000 3.841 0.000
-1.921 -1.921 5.994
Mn Br Si
1 2 1
direct
0.500 0.500 0.000
0.750 0.250 0.500
0.000 0.000 0.000
0.250 0.750 0.500
```

# 13
The following is a DFT calculation (meta-GGA SCAN) of a PBEsol-optimized structure of Mn2SiBr.

- Offset from the most stable computed form: 0 meV/atom

```
Mn2SiBr
1.0
3.622 0.000 0.000
0.000 3.609 0.000
0.000 0.000 5.234
Mn Si Br
2 1 1
direct
0.500 0.500 0.500
0.000 0.000 0.000
0.500 0.500 0.000
0.000 0.000 0.500
```

# 14
The following is a DFT calculation (meta-GGA SCAN) of a PBEsol-optimized structure of Mn2SiBr.

- Offset from the most stable computed form: 87 meV/atom

```
Mn2SiBr
1.0
3.004 0.000 0.000
0.000 3.004 0.000
0.000 0.000 6.466
Si Mn Br
1 2 1
direct
0.500 0.500 0.000
0.000 0.000 0.198
0.000 0.000 0.802
0.500 0.500 0.500
```

# 15
The following is a DFT calculation (meta-GGA SCAN) of a PBEsol-optimized structure of MnSn3Br.

- Offset from the most stable computed form: 0 meV/atom

```
MnSn3Br
1.0
4.924 0.000 0.000
0.000 4.924 0.000
0.000 0.000 4.924
Sn Br Mn
3 1 1
direct
0.000 0.000 0.500
0.500 0.000 0.000
0.000 0.500 0.000
0.500 0.500 0.500
0.000 0.000 0.000
```

# 16
The following is a DFT calculation (meta-GGA SCAN) of a PBEsol-optimized structure of MnSn3Br.

- Offset from the most stable computed form: 1074 meV/atom

```
MnSn3Br
1.0
5.418 0.000 0.000
0.000 5.418 0.000
0.000 0.000 5.418
Sn Mn Br
3 1 1
direct
0.000 0.000 0.500
0.500 0.000 0.000
0.000 0.500 0.000
0.500 0.500 0.500
0.000 0.000 0.000
```

# 17
The following is a DFT calculation (meta-GGA SCAN) of a PBEsol-optimized structure of SrMnBr2.

- Offset from the most stable computed form: 0 meV/atom

```
SrMnBr2
1.0
5.120 0.000 0.000
-2.560 4.701 -0.062
0.000 -2.731 4.331
Br Sr Mn
2 1 1
direct
0.250 0.500 0.750
0.750 0.500 0.250
0.000 0.000 0.000
0.500 0.000 0.500
```

# 18
The following is a DFT calculation (meta-GGA SCAN) of a PBEsol-optimized structure of SrMnBr2.

- Offset from the most stable computed form: 55 meV/atom

```
SrMnBr2
1.0
3.983 -0.017 -0.026
-1.875 5.551 0.022
-1.875 -2.037 5.164
Sr Mn Br
1 1 2
direct
0.500 0.000 0.000
0.500 0.500 0.500
0.000 0.500 0.000
0.000 0.000 0.500
```

# 19
The following is a DFT calculation (meta-GGA SCAN) of a PBEsol-optimized structure of TaMnBr.

```
TaMnBr
1.0
-2.331 -1.319 -1.729
2.732 0.859 -1.400
2.253 -5.400 1.082
Mn Ta Br
1 1 1
direct
0.333 0.667 0.624
0.667 0.333 0.368
0.000 0.000 0.008
```

# 20
The following is a DFT calculation (meta-GGA SCAN) of a PBEsol-optimized structure of Ta2MnBr.

```
Ta2MnBr
1.0
2.974 0.000 0.000
0.000 4.598 0.000
0.000 0.000 4.598
Mn Ta Br
1 2 1
direct
0.500 0.000 0.000
0.000 0.500 0.000
0.000 0.000 0.500
0.500 0.500 0.500
```

# 21
The following is a DFT calculation (meta-GGA SCAN) of a PBEsol-optimized structure of TaMnBr2.

- Offset from the most stable computed form: 804 meV/atom

```
TaMnBr2
1.0
-2.646 -2.916 1.844
1.922 -1.151 -4.188
3.228 -2.913 0.025
Br Mn Ta
2 1 1
direct
0.750 0.500 0.750
0.250 0.500 0.250
0.500 0.000 0.500
0.000 0.000 0.000
```

# 22
The following is a DFT calculation (meta-GGA SCAN) of a PBEsol-optimized structure of TaMnBr2.

- Offset from the most stable computed form: 444 meV/atom

```
TaMnBr2
1.0
-2.534 -0.248 1.689
0.702 -2.432 -2.069
4.920 -4.321 6.749
Mn Br Ta
1 2 1
direct
0.500 0.000 0.500
0.000 0.000 0.228
0.000 0.000 0.772
0.500 0.000 0.000
```

# 23
The following is a DFT calculation (meta-GGA SCAN) of a PBEsol-optimized structure of TaMnBr2.

- Offset from the most stable computed form: 590 meV/atom

```
TaMnBr2
1.0
3.176 -0.017 -0.026
-1.269 5.160 -0.013
-1.269 -2.191 4.672
Ta Br Mn
1 2 1
direct
0.000 0.500 0.500
0.000 0.500 0.000
0.000 0.000 0.500
0.000 0.000 0.000
```

# 24
The following is a DFT calculation (meta-GGA SCAN) of a PBEsol-optimized structure of TaMnBr2.

- Offset from the most stable computed form: 0 meV/atom

```
TaMnBr2
1.0
3.110 0.000 0.000
0.000 3.110 0.000
0.000 0.000 8.225
Br Ta Mn
2 1 1
direct
0.500 0.500 0.318
0.000 0.000 0.939
0.500 0.500 0.733
0.000 0.000 0.511
```

# 25
The following is a DFT calculation (meta-GGA SCAN) of a PBEsol-optimized structure of TaMnBr3.

```
TaMnBr3
1.0
5.064 0.000 0.000
0.000 5.064 0.000
0.000 0.000 5.064
Ta Br Mn
1 3 1
direct
0.500 0.500 0.500
0.000 0.500 0.000
0.500 0.000 0.000
0.000 0.000 0.500
0.000 0.000 0.000
```

# 26
The following is a DFT calculation (meta-GGA SCAN) of a PBEsol-optimized structure of Tb7MnBr12.

```
Tb7MnBr12
1.0
8.994 -0.007 -0.011
-2.609 8.607 -0.011
-2.609 -3.514 7.857
Br Tb Mn
12 7 1
direct
0.819 0.273 0.426
0.574 0.181 0.727
0.727 0.574 0.181
0.273 0.426 0.819
0.033 0.337 0.113
0.426 0.819 0.273
0.181 0.727 0.574
0.887 0.967 0.663
0.663 0.887 0.967
0.113 0.033 0.337
0.337 0.113 0.033
0.967 0.663 0.887
0.000 0.000 0.000
0.192 0.400 0.476
0.600 0.524 0.808
0.476 0.192 0.400
0.400 0.476 0.192
0.524 0.808 0.600
0.808 0.600 0.524
0.500 0.500 0.500
```

# 27
The following is a DFT calculation (meta-GGA SCAN) of a PBEsol-optimized structure of Mn2TcBr.

```
Mn2TcBr
1.0
2.920 0.000 0.000
0.000 4.280 0.000
0.000 0.000 4.411
Mn Tc Br
2 1 1
direct
0.000 0.000 0.000
0.500 0.000 0.500
0.500 0.500 0.000
0.000 0.500 0.500
```

# 28
The following is a DFT calculation (meta-GGA SCAN) of a PBEsol-optimized structure of Mn2TeBr.

- Offset from the most stable computed form: 742 meV/atom

```
Mn2TeBr
1.0
-2.371 4.305 0.288
-4.533 0.443 -1.869
-3.867 0.484 3.009
Mn Br Te
2 1 1
direct
0.000 0.000 0.000
0.250 0.250 0.250
0.500 0.500 0.500
0.750 0.750 0.750
```

# 29
The following is a DFT calculation (meta-GGA SCAN) of a PBEsol-optimized structure of MnTeBr2.

- Offset from the most stable computed form: 431 meV/atom

```
MnTeBr2
1.0
-0.016 -1.501 -3.168
0.971 -4.106 1.940
-5.865 -1.121 0.561
Mn Te Br
1 1 2
direct
0.500 0.500 0.000
0.000 0.500 0.500
0.000 0.000 0.000
0.500 0.000 0.500
```

Let's list E_form (uncorrected) in order: -0.50; 0.15; -0.31; -0.50; -0.64; -0.58; -0.44; 0.14; -0.56; -0.22; 0.32; 0.27; -0.02; 0.07; -0.15; 0.93; -0.94; -0.88; 0.22; 0.65; 0.63; 0.27; 0.42; -0.17; 0.47; -1.69; 0.59; 0.37; -0.11 eV per atom.